ScNiNO2: relaxed, GGA+U.

Lattice parameters (Å, degrees): 6.3384 6.3384 6.5576 90.00 90.00 90.00
Atoms (fractional coordinates):
Sc 0.0000 0.0000 0.0000
Ni 0.5000 0.5000 0.5000
N 0.0000 0.0000 0.5000
O 0.0000 0.5000 0.0000
O 0.5000 0.0000 0.0000

Output
Calculated total energy = -13.1 eV per cell